First-principles (PBE-GGA) data for crystalline K8AsO3 at its relaxed geometry, as listed in Alexandria via LeMat-Bulk.

For the density, the calculation gives 2199 kg/m³. The volume comes out at 328.96 Å³/f.u. The calculation puts the formation energy (no corrections) at -0.73 eV/atom.

The space group is Pm-3m (No. 221) and the conventional cell measures 6.903, 6.903 and 6.903 Å, with angles of 90.00, 90.00 and 90.00 degrees. Symmetry generates all atoms from K at (0.235, 0.235, 0.235), As at (0.500, 0.500, 0.500) and O at (0.000, 0.000, 0.500).


First-principles (PBE-GGA) data for crystalline Li4Ac2Tl3Hg at its relaxed geometry, as listed in Alexandria via LeMat-Bulk.

For the density, the calculation gives 8458 kg/m³. The volume comes out at 254.34 Å³/f.u. The value obtained for the formation energy is -28 kJ/mol of atoms.

The space group is P-4m2 (No. 115) and the conventional cell measures 4.994, 4.994 and 10.197 Å, with angles of 90.00, 90.00 and 90.00 degrees. Symmetry generates all atoms from Li at (0.000, 0.000, 0.000), Li at (0.000, 0.500, 0.382), Li at (0.500, 0.500, 0.000), Ac at (0.000, 0.500, 0.749), Tl at (0.000, 0.000, 0.500), Tl at (0.000, 0.500, 0.123) and Hg at (0.500, 0.500, 0.500).


First-principles (PBE-GGA) data for crystalline TcHg2P at its relaxed geometry, as listed in Alexandria via LeMat-Bulk.

For the density, the calculation gives 11594 kg/m³. The volume comes out at 75.93 Å³/f.u. The value obtained for the formation energy is 66 kJ/mol of atoms.

The space group is C2/m (No. 12) and the conventional cell measures 5.264, 10.616 and 3.231 Å, with angles of 90.00, 122.75 and 90.00 degrees. Symmetry generates all atoms from Tc at (0.000, 0.000, 0.000), Hg at (0.250, 0.250, 0.000) and P at (0.000, 0.500, 0.000).


First-principles (PBE-GGA) data for crystalline TbZn6Ag4 at its relaxed geometry, as listed in Alexandria via LeMat-Bulk.

For the density, the calculation gives 8135 kg/m³. The volume comes out at 200.62 Å³/f.u. The value obtained for the formation energy is -8 kJ/mol of atoms.

The space group is P-6m2 (No. 187) and the conventional cell measures 7.4119, 7.4119 and 4.2169 Å, with angles of 90.00, 90.00 and 120.00 degrees. Symmetry generates all atoms from Tb at (0.0000, 0.0000, 0.0000), Zn at (0.0774, 0.5387, 0.0000), Zn at (0.4113, 0.2057, 0.5000), Ag at (0.1975, 0.3949, 0.5000) and Ag at (0.6667, 0.3333, 0.0000).